Arrangement i

Here is a relaxed structure of CoOs2Ru from Alexandria via LeMat-Bulk. Energies are from PBE.

## Properties
The crystal system is monoclinic. For the mass density, the calculation gives 16.71 g/cm³.

abc: 2.6773 4.6165 5.3250
angles: 54.70 90.00 90.00
Fractional coordinates of all 4 atoms:
Co 0.0000 0.0000 0.5000
Os 0.0000 0.0000 0.0000
Os 0.5000 0.5000 0.0000
Ru 0.5000 0.5000 0.5000

***

Arrangement ii

Here is a relaxed structure of CoOs2Ru from Alexandria via LeMat-Bulk. Energies are from PBE.

## Properties
The crystal system is monoclinic. For the mass density, the calculation gives 16.72 g/cm³.

abc: 4.5976 4.5976 4.6283
angles: 80.51 80.51 33.86
Fractional coordinates of all 4 atoms:
Co 0.2500 0.2500 0.2500
Os 0.9997 0.9997 0.0084
Os 0.5003 0.5003 0.4916
Ru 0.7500 0.7500 0.7500

***

Verdict on stability: arrangement i comes out at the bottom.

***

Arrangement i

Here is a relaxed structure of PIrAuC from Alexandria via LeMat-Bulk. Energies are from PBE.

## Properties
The crystal system is monoclinic. For the mass density, the calculation gives 10.53 g/cm³.

abc: 6.0899 3.3948 8.1469
angles: 90.00 125.95 90.00
Fractional coordinates of all 8 atoms:
P 0.8366 0.0000 0.2436
P 0.8366 0.5000 0.7436
C 0.6220 0.0000 0.9668
C 0.6220 0.5000 0.4668
Ir 0.5382 0.0000 0.3250
Ir 0.5382 0.5000 0.8250
Au 0.1746 0.0000 0.8430
Au 0.1746 0.5000 0.3430

***

Arrangement ii

Here is a relaxed structure of PIrAuC from Alexandria via LeMat-Bulk. Energies are from PBE.

## Properties
The crystal system is monoclinic. For the mass density, the calculation gives 11.95 g/cm³.

abc: 5.0391 4.0601 6.5231
angles: 90.00 115.80 90.00
Fractional coordinates of all 8 atoms:
P 0.2222 0.0000 0.9778
P 0.2222 0.5000 0.4778
C 0.8364 0.0000 0.8910
C 0.8364 0.5000 0.3910
Ir 0.3910 0.0000 0.6925
Ir 0.3910 0.5000 0.1925
Au 0.7721 0.0000 0.4611
Au 0.7721 0.5000 0.9611

***

Verdict on stability: arrangement ii comes out at the bottom.